Material: LiBeAs2
Method: DFT, PBE
State: relaxed

Properties
The value obtained for the energy above the most stable polymorph in this dataset is 0.210 eV/atom. Its space group is Cmmm. The value obtained for the formation energy is -0.003 eV/atom.

a = 3.0344 Å, b = 3.0344 Å, c = 7.2431 Å
α = 90.00°, β = 90.00°, γ = 106.18°
With the nearest neighbours (Å) after each atom.
Atoms (fractional coordinates):
1 As 0.0000 0.0000 0.0363  2 Be 2.39
2 Be 0.5000 0.5000 0.2500  4 As 2.39
3 Li 0.5000 0.5000 0.7500  4 As 2.76, 4 Li 3.03
4 As 0.0000 0.0000 0.4637  2 Be 2.39

Material: LiBe2As
Method: DFT, PBE
State: relaxed

Properties
The value obtained for the energy above the most stable polymorph in this dataset is 0.408 eV/atom. Its space group is R-3m. The value obtained for the formation energy is 0.485 eV/atom.

a = 8.1645 Å, b = 8.1645 Å, c = 8.1645 Å
α = 19.75°, β = 19.75°, γ = 19.75°
With the nearest neighbours (Å) after each atom.
Atoms (fractional coordinates):
1 Li 0.2500 0.2500 0.2500  6 Be 2.62, 6 Li 2.80
2 Be 0.4972 0.4972 0.4972  3 As 2.52, 3 Li 2.62, 6 Be 2.80
3 As 0.7500 0.7500 0.7500  6 Be 2.52, 6 As 2.80
4 Be 0.0028 0.0028 0.0028  3 As 2.52, 3 Li 2.62, 6 Be 2.80

Material: LiBeAs
Method: DFT, PBE
State: relaxed

Properties
Its space group is P-6m2. The value obtained for the formation energy is -0.390 eV/atom.

a = 3.7593 Å, b = 3.7593 Å, c = 3.9978 Å
α = 90.00°, β = 90.00°, γ = 120.00°
With the nearest neighbours (Å) after each atom.
Atoms (fractional coordinates):
1 Be 0.6667 0.3333 0.1662  3 As 2.17
2 As 0.0000 0.0000 0.1668  3 Be 2.17
3 Li 0.3333 0.6667 0.6672  6 Be 2.95, 6 As 2.95

Material: LiBe2As
Method: DFT, PBE
State: relaxed

Properties
The value obtained for the energy above the most stable polymorph in this dataset is 0.177 eV/atom. Its space group is F-43m. The value obtained for the formation energy is 0.254 eV/atom.

a = 4.1242 Å, b = 4.1242 Å, c = 4.1242 Å
α = 60.00°, β = 60.00°, γ = 60.00°
With the nearest neighbours (Å) after each atom.
Atoms (fractional coordinates):
1 Be 0.0000 0.0000 0.0000  4 Li 2.53, 4 Be 2.53
2 As 0.5000 0.5000 0.5000  4 Be 2.53, 4 Li 2.53
3 Li 0.7500 0.7500 0.7500  4 As 2.53, 4 Be 2.53
4 Be 0.2500 0.2500 0.2500  4 Be 2.53, 4 As 2.53

Please write out number 2 again, unchanged.
Material: LiBe2As
Method: DFT, PBE
State: relaxed

Properties
The value obtained for the energy above the most stable polymorph in this dataset is 0.408 eV/atom. Its space group is R-3m. The value obtained for the formation energy is 0.485 eV/atom.

a = 8.1645 Å, b = 8.1645 Å, c = 8.1645 Å
α = 19.75°, β = 19.75°, γ = 19.75°
With the nearest neighbours (Å) after each atom.
Atoms (fractional coordinates):
1 Li 0.2500 0.2500 0.2500  6 Be 2.62, 6 Li 2.80
2 Be 0.4972 0.4972 0.4972  3 As 2.52, 3 Li 2.62, 6 Be 2.80
3 As 0.7500 0.7500 0.7500  6 Be 2.52, 6 As 2.80
4 Be 0.0028 0.0028 0.0028  3 As 2.52, 3 Li 2.62, 6 Be 2.80